# 1
Material: Tb2Sm3TmSe6
Method: DFT, PBE-GGA
State: relaxed

Unit cell a=9.2338 b=9.2338 c=8.3052 alpha=103.76 beta=103.76 gamma=25.63
With the nearest neighbours (Å) after each atom.
Fractional positions:
Tb (0.1679, 0.1679, 0.3351)  6 Se 2.87-2.91
Tb (0.8321, 0.8321, 0.6649)  6 Se 2.87-2.91
Sm (0.1687, 0.1687, 0.8331)  6 Se 2.94-2.97
Sm (0.5000, 0.5000, 0.5000)  6 Se 2.93-2.98
Sm (0.8313, 0.8313, 0.1669)  6 Se 2.94-2.97
Tm (0.5000, 0.5000, 0.0000)  6 Se 2.83-2.85
Se (0.0011, 0.0011, 0.2401)  2 Tm 2.85, 1 Tb 2.91, 3 Sm 2.97-2.98
Se (0.3324, 0.3324, 0.4212)  3 Tb 2.87-2.88, 3 Sm 2.93-2.94
Se (0.3378, 0.3378, 0.9143)  1 Tm 2.83, 2 Tb 2.90, 3 Sm 2.95
Se (0.6622, 0.6622, 0.0857)  1 Tm 2.83, 2 Tb 2.90, 3 Sm 2.95
Se (0.6676, 0.6676, 0.5788)  3 Tb 2.87-2.88, 3 Sm 2.93-2.94
Se (0.9989, 0.9989, 0.7599)  2 Tm 2.85, 1 Tb 2.91, 3 Sm 2.97-2.98

**ρ**: 7.892 g cm⁻³
**Space group**: C2/m
**E_form (uncorrected)**: -171.7 kJ per mole of atoms
**Spin magnetization**: 0.00 μB per formula unit



# 2
Material: Tb3SmY2Se6
Method: DFT, PBE-GGA
State: relaxed

Unit cell a=7.1150 b=7.1150 c=7.1198 alpha=99.55 beta=99.55 gamma=120.30
With the nearest neighbours (Å) after each atom.
Fractional positions:
Tb (0.0000, 0.0000, 0.0000)  6 Se 2.87-2.91
Tb (0.3370, 0.6630, 0.0000)  6 Se 2.89-2.90
Tb (0.6630, 0.3370, 0.0000)  6 Se 2.89-2.90
Sm (0.5000, 0.5000, 0.5000)  6 Se 2.93-2.95
Y (0.1661, 0.8339, 0.5000)  6 Se 2.88-2.90
Y (0.8339, 0.1661, 0.5000)  6 Se 2.88-2.90
Se (0.0771, 0.4160, 0.2474)  3 Tb 2.89-2.91, 2 Y 2.89-2.90, 1 Sm 2.95
Se (0.2448, 0.2448, 0.7500)  3 Tb 2.87-2.89, 2 Y 2.88, 1 Sm 2.93
Se (0.4160, 0.0771, 0.2474)  3 Tb 2.89-2.91, 2 Y 2.89-2.90, 1 Sm 2.95
Se (0.5840, 0.9229, 0.7526)  3 Tb 2.89-2.91, 2 Y 2.89-2.90, 1 Sm 2.95
Se (0.7552, 0.7552, 0.2500)  3 Tb 2.87-2.89, 2 Y 2.88, 1 Sm 2.93
Se (0.9229, 0.5840, 0.7526)  3 Tb 2.89-2.91, 2 Y 2.89-2.90, 1 Sm 2.95

**ρ**: 7.237 g cm⁻³
**Space group**: C2/m
**E_form (uncorrected)**: -171.7 kJ per mole of atoms
**Spin magnetization**: 0.00 μB per formula unit



# 3
Material: TbSm2Y3Se6
Method: DFT, PBE-GGA
State: relaxed

Unit cell a=7.1282 b=7.1282 c=7.1499 alpha=99.52 beta=99.52 gamma=120.29
With the nearest neighbours (Å) after each atom.
Fractional positions:
Tb (0.0000, 0.0000, 0.0000)  6 Se 2.90-2.91
Sm (0.3329, 0.6671, 0.0000)  6 Se 2.94-2.96
Sm (0.6671, 0.3329, 0.0000)  6 Se 2.94-2.96
Y (0.1700, 0.8300, 0.5000)  6 Se 2.88-2.90
Y (0.5000, 0.5000, 0.5000)  6 Se 2.88-2.91
Y (0.8300, 0.1700, 0.5000)  6 Se 2.88-2.90
Se (0.0850, 0.4134, 0.2547)  3 Y 2.88-2.89, 1 Tb 2.90, 2 Sm 2.94
Se (0.2429, 0.2429, 0.7429)  3 Y 2.90-2.91, 1 Tb 2.91, 2 Sm 2.96
Se (0.4134, 0.0850, 0.2547)  3 Y 2.88-2.89, 1 Tb 2.90, 2 Sm 2.94
Se (0.5866, 0.9150, 0.7453)  3 Y 2.88-2.89, 1 Tb 2.90, 2 Sm 2.94
Se (0.7571, 0.7571, 0.2571)  3 Y 2.90-2.91, 1 Tb 2.91, 2 Sm 2.96
Se (0.9150, 0.5866, 0.7453)  3 Y 2.88-2.89, 1 Tb 2.90, 2 Sm 2.94

**ρ**: 6.736 g cm⁻³
**Space group**: C2/m
**E_form (uncorrected)**: -172.4 kJ per mole of atoms
**Spin magnetization**: 0.00 μB per formula unit



# 4
Material: Tb3Sm3YSe8
Method: DFT, PBE-GGA
State: relaxed

Unit cell a=8.2482 b=8.2482 c=8.2482 alpha=59.81 beta=59.81 gamma=59.81
With the nearest neighbours (Å) after each atom.
Fractional positions:
Tb (0.0000, 0.5000, 0.5000)  6 Se 2.89
Tb (0.5000, 0.0000, 0.5000)  6 Se 2.89
Tb (0.5000, 0.5000, 0.0000)  6 Se 2.89
Sm (0.0000, 0.0000, 0.5000)  6 Se 2.94
Sm (0.0000, 0.5000, 0.0000)  6 Se 2.94
Sm (0.5000, 0.0000, 0.0000)  6 Se 2.94
Y (0.0000, 0.0000, 0.0000)  6 Se 2.93
Se (0.2512, 0.2512, 0.7442)  2 Tb 2.89, 1 Y 2.93, 2 Sm 2.94
Se (0.2512, 0.7442, 0.2512)  2 Tb 2.89, 1 Y 2.93, 2 Sm 2.94
Se (0.2522, 0.2522, 0.2522)  3 Tb 2.89, 3 Sm 2.94
Se (0.2558, 0.7488, 0.7488)  2 Tb 2.89, 1 Y 2.93, 2 Sm 2.94
Se (0.7442, 0.2512, 0.2512)  2 Tb 2.89, 1 Y 2.93, 2 Sm 2.94
Se (0.7478, 0.7478, 0.7478)  3 Tb 2.89, 3 Sm 2.94
Se (0.7488, 0.2558, 0.7488)  2 Tb 2.89, 1 Y 2.93, 2 Sm 2.94
Se (0.7488, 0.7488, 0.2558)  2 Tb 2.89, 1 Y 2.93, 2 Sm 2.94

**ρ**: 6.929 g cm⁻³
**Space group**: R-3m
**E_form (uncorrected)**: -179.6 kJ per mole of atoms
**Spin magnetization**: 0.00 μB per formula unit



# 5
Material: Tb4SmY3Se8
Method: DFT, PBE-GGA
State: relaxed

Unit cell a=8.2061 b=8.2061 c=8.2061 alpha=60.00 beta=60.00 gamma=60.00
With the nearest neighbours (Å) after each atom.
Fractional positions:
Tb (0.0000, 0.0000, 0.0000)  6 Se 2.87
Tb (0.0000, 0.5000, 0.5000)  6 Se 2.90
Tb (0.5000, 0.0000, 0.5000)  6 Se 2.90
Tb (0.5000, 0.5000, 0.0000)  6 Se 2.90
Sm (0.5000, 0.5000, 0.5000)  6 Se 2.93
Y (0.0000, 0.0000, 0.5000)  6 Se 2.90
Y (0.0000, 0.5000, 0.0000)  6 Se 2.90
Y (0.5000, 0.0000, 0.0000)  6 Se 2.90
Se (0.2470, 0.7525, 0.7525)  3 Tb 2.87-2.90, 2 Y 2.90, 1 Sm 2.93
Se (0.2475, 0.2475, 0.7530)  3 Tb 2.87-2.90, 2 Y 2.90, 1 Sm 2.93
Se (0.2475, 0.7530, 0.2475)  3 Tb 2.87-2.90, 2 Y 2.90, 1 Sm 2.93
Se (0.2498, 0.2498, 0.2498)  3 Y 2.90, 3 Tb 2.90
Se (0.7502, 0.7502, 0.7502)  3 Y 2.90, 3 Tb 2.90
Se (0.7525, 0.2470, 0.7525)  3 Tb 2.87-2.90, 2 Y 2.90, 1 Sm 2.93
Se (0.7525, 0.7525, 0.2470)  3 Tb 2.87-2.90, 2 Y 2.90, 1 Sm 2.93
Se (0.7530, 0.2475, 0.2475)  3 Tb 2.87-2.90, 2 Y 2.90, 1 Sm 2.93

**ρ**: 7.158 g cm⁻³
**Space group**: R-3m
**E_form (uncorrected)**: -170.8 kJ per mole of atoms
**Spin magnetization**: 0.00 μB per formula unit



# 6
Material: TbSmY2Se6
Method: DFT, PBE-GGA
State: relaxed

Unit cell a=7.7457 b=7.7457 c=7.7457 alpha=55.93 beta=55.93 gamma=55.93
With the nearest neighbours (Å) after each atom.
Fractional positions:
Tb (0.0000, 0.0000, 0.0000)  6 Se 2.86-2.92
Sm (0.5022, 0.5022, 0.5022)  6 Se 2.90-2.98
Y (0.3044, 0.3044, 0.3044)  6 Se 2.84-2.91
Y (0.8029, 0.8029, 0.8029)  6 Se 2.85-2.91
Se (0.0934, 0.4035, 0.7051)  2 Y 2.85-2.91, 1 Tb 2.86, 1 Sm 2.98
Se (0.1974, 0.9110, 0.5946)  2 Y 2.84-2.91, 1 Sm 2.90, 1 Tb 2.92
Se (0.4035, 0.7051, 0.0934)  2 Y 2.85-2.91, 1 Tb 2.86, 1 Sm 2.98
Se (0.5946, 0.1974, 0.9110)  2 Y 2.84-2.91, 1 Sm 2.90, 1 Tb 2.92
Se (0.7051, 0.0934, 0.4035)  2 Y 2.85-2.91, 1 Tb 2.86, 1 Sm 2.98
Se (0.9110, 0.5946, 0.1974)  2 Y 2.84-2.91, 1 Sm 2.90, 1 Tb 2.92

**ρ**: 5.362 g cm⁻³
**Space group**: R3
**E_form (uncorrected)**: -179.2 kJ per mole of atoms
**Spin magnetization**: 0.00 μB per formula unit



# 7
Material: Tb2SmYSe6
Method: DFT, PBE-GGA
State: relaxed

Unit cell a=7.7559 b=7.7559 c=7.7559 alpha=55.89 beta=55.89 gamma=55.89
With the nearest neighbours (Å) after each atom.
Fractional positions:
Tb (0.0000, 0.0000, 0.0000)  6 Se 2.85-2.92
Tb (0.4982, 0.4982, 0.4982)  6 Se 2.86-2.92
Sm (0.1979, 0.1979, 0.1979)  6 Se 2.89-2.98
Y (0.6953, 0.6953, 0.6953)  6 Se 2.86-2.91
Se (0.0966, 0.4028, 0.7907)  1 Y 2.86, 2 Tb 2.86-2.92, 1 Sm 2.98
Se (0.2919, 0.8941, 0.6052)  2 Tb 2.85-2.92, 1 Sm 2.89, 1 Y 2.91
Se (0.4028, 0.7907, 0.0966)  1 Y 2.86, 2 Tb 2.86-2.92, 1 Sm 2.98
Se (0.6052, 0.2919, 0.8941)  2 Tb 2.85-2.92, 1 Sm 2.89, 1 Y 2.91
Se (0.7907, 0.0966, 0.4028)  1 Y 2.86, 2 Tb 2.86-2.92, 1 Sm 2.98
Se (0.8941, 0.6052, 0.2919)  2 Tb 2.85-2.92, 1 Sm 2.89, 1 Y 2.91

**ρ**: 5.735 g cm⁻³
**Space group**: R3
**E_form (uncorrected)**: -179.0 kJ per mole of atoms
**Spin magnetization**: 0.00 μB per formula unit



# 8
Material: TbSm2YSe5
Method: DFT, PBE-GGA
State: relaxed

Unit cell a=5.1756 b=5.1756 c=10.7539 alpha=90.00 beta=90.00 gamma=90.00
With the nearest neighbours (Å) after each atom.
Fractional positions:
Tb (0.0000, 0.0000, 0.0000)  6 Se 2.59-2.74
Sm (0.5000, 0.5000, 0.1677)  4 Se 3.15
Sm (0.5000, 0.5000, 0.8323)  4 Se 3.15
Y (0.0000, 0.0000, 0.5000)  2 Se 2.63
Se (0.0000, 0.0000, 0.2550)  1 Y 2.63, 1 Tb 2.74
Se (0.0000, 0.0000, 0.7450)  1 Y 2.63, 1 Tb 2.74
Se (0.0000, 0.5000, 0.0000)  2 Tb 2.59
Se (0.5000, 0.0000, 0.0000)  2 Tb 2.59
Se (0.5000, 0.5000, 0.5000)  2 Sm 3.57, 4 Y 3.66

**ρ**: 5.438 g cm⁻³
**Space group**: P4/mmm
**E_form (uncorrected)**: -115.5 kJ per mole of atoms
**Spin magnetization**: 0.12 μB per formula unit